Entry 1:
Density functional theory data (GGA-PBE) for an optimized crystal structure of HfZr2Ni3As4Pd.

a b c (Å): 6.5128 3.8639 7.3574
angles (deg): 90.00 90.89 90.00
Closest atoms and distances in Å follow each position.
Positions (direct):
Hf: 0.0000 0.0000 0.0000  5 As 2.74-2.87, 3 Ni 2.76-2.88, 2 Pd 2.98
Zr: 0.4920 0.0000 0.8608  5 As 2.63-2.80, 1 Ni 2.91
Zr: 0.9380 0.5000 0.3794  5 As 2.75-2.81, 5 Ni 2.81-3.02
Ni: 0.0810 0.0000 0.6331  4 As 2.36-2.51
Ni: 0.6140 0.0000 0.2428  4 As 2.39-2.57
Ni: 0.8325 0.5000 0.7484  4 As 2.44-2.52, 2 Ni 2.67
As: 0.2079 0.5000 0.7803  3 Ni 2.36-2.45
As: 0.2350 0.0000 0.3340  2 Ni 2.43-2.57, 2 Pd 2.51
As: 0.7033 0.0000 0.5596  4 Ni 2.39-2.52, 1 Zr 2.63
As: 0.7114 0.5000 0.0602  3 Ni 2.44, 1 Pd 2.62
Pd: 0.3178 0.5000 0.1299  4 As 2.51-2.66

- Uncorrected energy: -76.23 eV per formula unit
- Symmetry: Pm (6)



Entry 2:
Density functional theory data (GGA-PBE) for an optimized crystal structure of Gd2HoTl2Zn3Cd.

a b c (Å): 4.5513 7.2564 7.2564
angles (deg): 119.63 90.00 90.00
Closest atoms and distances in Å follow each position.
Positions (direct):
Gd: 0.0000 0.2136 0.7864  1 Cd 3.12, 4 Tl 3.15, 2 Zn 3.36
Gd: 0.0000 0.7864 0.2136  1 Cd 3.12, 4 Tl 3.15, 2 Zn 3.36
Ho: 0.0000 0.3583 0.3583  1 Cd 3.09, 4 Tl 3.12, 2 Zn 3.39
Tl: 0.5000 0.1209 0.4515  3 Zn 2.87-2.88, 2 Ho 3.12, 4 Gd 3.15
Tl: 0.5000 0.4515 0.1209  3 Zn 2.87-2.88, 2 Ho 3.12, 4 Gd 3.15
Zn: 0.5000 0.0146 0.0146  2 Cd 2.84, 2 Tl 2.87, 2 Zn 2.90
Zn: 0.5000 0.5545 0.7854  2 Cd 2.82, 2 Tl 2.87-2.88, 2 Zn 2.90
Zn: 0.5000 0.7854 0.5545  2 Cd 2.82, 2 Tl 2.87-2.88, 2 Zn 2.90
Cd: 0.0000 0.7815 0.7815  6 Zn 2.82-2.84, 1 Ho 3.09, 2 Gd 3.12

- Uncorrected energy: -26.06 eV per formula unit
- Symmetry: Amm2 (38)